<one>
This record from Alexandria via LeMat-Bulk describes Mg2TlV after structural relaxation. The functional is PBE-GGA.

Output
DOS(E_F)	1.6	states/eV/cell
symmetry	No. 225

a = 4.885 Å, b = 4.885 Å, c = 4.885 Å
α = 60.00°, β = 60.00°, γ = 60.00°
Sites, in units of the cell vectors:
Mg 0.250 0.250 0.250
Mg 0.750 0.750 0.750
Tl 0.000 0.000 0.000
V 0.500 0.500 0.500



<two>
This record from Alexandria via LeMat-Bulk describes Mg2TlV after structural relaxation. The functional is PBE-GGA.

Output
DOS(E_F)	7.0	states/eV/cell
symmetry	No. 122

a = 6.319 Å, b = 6.319 Å, c = 6.319 Å
α = 102.22°, β = 102.22°, γ = 125.22°
Sites, in units of the cell vectors:
Mg 0.120 0.125 0.495
Mg 0.375 0.880 0.005
Mg 0.630 0.625 0.505
Mg 0.875 0.370 0.995
Tl 0.250 0.750 0.500
Tl 0.500 0.500 0.000
V 0.000 0.000 0.000
V 0.750 0.250 0.500



Relative stability in kJ/mol of atoms, measured from the most stable structure: <one> 0.0; <two> 20.4



<one>
This record from Alexandria via LeMat-Bulk describes Mg2TlW after structural relaxation. The functional is PBE-GGA.

Output
DOS(E_F)	3.0	states/eV/cell
symmetry	No. 35

a = 2.949 Å, b = 2.949 Å, c = 9.700 Å
α = 90.00°, β = 90.00°, γ = 104.46°
Sites, in units of the cell vectors:
Mg 0.000 0.000 0.000
Mg 0.500 0.500 0.260
Tl 0.500 0.500 0.733
W 0.000 0.000 0.484



<two>
This record from Alexandria via LeMat-Bulk describes Mg2TlW after structural relaxation. The functional is PBE-GGA.

Output
DOS(E_F)	1.0	states/eV/cell
symmetry	No. 160

a = 10.076 Å, b = 10.076 Å, c = 10.076 Å
α = 17.59°, β = 17.59°, γ = 17.59°
Sites, in units of the cell vectors:
Mg 0.000 0.000 0.000
Mg 0.246 0.246 0.246
Tl 0.493 0.493 0.493
W 0.743 0.743 0.743



<three>
This record from Alexandria via LeMat-Bulk describes Mg2TlW after structural relaxation. The functional is PBE-GGA.

Output
DOS(E_F)	2.9	states/eV/cell
symmetry	No. 8

a = 5.252 Å, b = 5.252 Å, c = 5.371 Å
α = 97.98°, β = 97.98°, γ = 32.70°
Sites, in units of the cell vectors:
Mg 0.000 0.000 0.000
Mg 0.243 0.243 0.742
Tl 0.491 0.491 0.473
W 0.742 0.742 0.229



<four>
This record from Alexandria via LeMat-Bulk describes Mg2TlW after structural relaxation. The functional is PBE-GGA.

Output
DOS(E_F)	1.2	states/eV/cell
symmetry	No. 99

a = 2.928 Å, b = 2.928 Å, c = 9.597 Å
α = 90.00°, β = 90.00°, γ = 90.00°
Sites, in units of the cell vectors:
Mg 0.000 0.000 0.000
Mg 0.500 0.500 0.256
Tl 0.000 0.000 0.531
W 0.500 0.500 0.780



Relative stability in kJ/mol of atoms, measured from the most stable structure: <one> 1.6; <two> 0.0; <three> 4.3; <four> 2.2



<one>
This record from Alexandria via LeMat-Bulk describes MgTl2W after structural relaxation. The functional is PBE-GGA.

Output
DOS(E_F)	1.0	states/eV/cell
symmetry	No. 122

a = 10.450 Å, b = 10.450 Å, c = 10.450 Å
α = 155.97°, β = 155.97°, γ = 34.24°
Sites, in units of the cell vectors:
Mg 0.000 0.000 0.000
Mg 0.750 0.250 0.500
Tl 0.144 0.625 0.019
Tl 0.375 0.394 0.519
Tl 0.606 0.125 0.981
Tl 0.875 0.856 0.481
W 0.250 0.750 0.500
W 0.500 0.500 0.000



<two>
This record from Alexandria via LeMat-Bulk describes MgTl2W after structural relaxation. The functional is PBE-GGA.

Output
DOS(E_F)	1.9	states/eV/cell
symmetry	No. 99

a = 3.000 Å, b = 3.000 Å, c = 10.079 Å
α = 90.00°, β = 90.00°, γ = 90.00°
Sites, in units of the cell vectors:
Mg 0.000 0.000 0.000
Tl 0.000 0.000 0.565
Tl 0.500 0.500 0.264
W 0.500 0.500 0.803



<three>
This record from Alexandria via LeMat-Bulk describes MgTl2W after structural relaxation. The functional is PBE-GGA.

Output
DOS(E_F)	3.6	states/eV/cell
symmetry	No. 166

a = 9.714 Å, b = 9.714 Å, c = 9.714 Å
α = 18.96°, β = 18.96°, γ = 18.96°
Sites, in units of the cell vectors:
Mg 0.000 0.000 0.000
Tl 0.249 0.249 0.249
Tl 0.751 0.751 0.751
W 0.500 0.500 0.500



<four>
This record from Alexandria via LeMat-Bulk describes MgTl2W after structural relaxation. The functional is PBE-GGA.

Output
DOS(E_F)	2.5	states/eV/cell
symmetry	No. 71

a = 5.977 Å, b = 5.977 Å, c = 5.977 Å
α = 149.85°, β = 124.86°, γ = 64.13°
Sites, in units of the cell vectors:
Mg 0.000 0.000 0.000
Tl 0.257 0.757 0.500
Tl 0.743 0.243 0.500
W 0.500 0.500 0.000



Relative stability in kJ/mol of atoms, measured from the most stable structure: <one> 45.0; <two> 0.0; <three> 6.9; <four> 19.1



<one>
This record from Alexandria via LeMat-Bulk describes MgTl2W after structural relaxation. The functional is PBE-GGA.

Output
DOS(E_F)	3.2	states/eV/cell
symmetry	No. 123

a = 3.051 Å, b = 3.051 Å, c = 9.168 Å
α = 90.00°, β = 90.00°, γ = 90.00°
Sites, in units of the cell vectors:
Mg 0.000 0.000 0.000
Tl 0.500 0.500 0.258
Tl 0.500 0.500 0.742
W 0.000 0.000 0.500



<two>
This record from Alexandria via LeMat-Bulk describes MgTl2W after structural relaxation. The functional is PBE-GGA.

Output
DOS(E_F)	2.3	states/eV/cell
symmetry	No. 123

a = 3.646 Å, b = 3.646 Å, c = 6.238 Å
α = 90.00°, β = 90.00°, γ = 90.00°
Sites, in units of the cell vectors:
Mg 0.000 0.000 0.000
Tl 0.500 0.500 0.258
Tl 0.500 0.500 0.742
W 0.000 0.000 0.500



Relative stability in kJ/mol of atoms, measured from the most stable structure: <one> 0.0; <two> 3.3



<one>
This record from Alexandria via LeMat-Bulk describes MgTl2W after structural relaxation. The functional is PBE-GGA.

Output
DOS(E_F)	2.3	states/eV/cell
symmetry	No. 25

a = 2.992 Å, b = 5.437 Å, c = 5.210 Å
α = 90.00°, β = 90.00°, γ = 90.00°
Sites, in units of the cell vectors:
Mg 0.000 0.000 0.000
Tl 0.000 0.500 0.692
Tl 0.500 0.000 0.479
W 0.500 0.500 0.187



<two>
This record from Alexandria via LeMat-Bulk describes MgTl2W after structural relaxation. The functional is PBE-GGA.

Output
DOS(E_F)	3.4	states/eV/cell
symmetry	No. 65

a = 5.335 Å, b = 5.335 Å, c = 3.084 Å
α = 90.00°, β = 90.00°, γ = 109.31°
Sites, in units of the cell vectors:
Mg 0.000 0.000 0.000
Tl 0.000 0.500 0.500
Tl 0.500 0.000 0.500
W 0.500 0.500 0.000



<three>
This record from Alexandria via LeMat-Bulk describes MgTl2W after structural relaxation. The functional is PBE-GGA.

Output
DOS(E_F)	0.9	states/eV/cell
symmetry	No. 44

a = 5.645 Å, b = 5.645 Å, c = 5.645 Å
α = 137.50°, β = 136.85°, γ = 62.18°
Sites, in units of the cell vectors:
Mg 0.000 0.000 0.000
Tl 0.251 0.751 0.500
Tl 0.502 0.502 0.000
W 0.751 0.251 0.500



<four>
This record from Alexandria via LeMat-Bulk describes MgTl2W after structural relaxation. The functional is PBE-GGA.

Output
DOS(E_F)	1.7	states/eV/cell
symmetry	No. 65

a = 3.089 Å, b = 3.089 Å, c = 9.496 Å
α = 90.00°, β = 90.00°, γ = 108.36°
Sites, in units of the cell vectors:
Mg 0.000 0.000 0.000
Tl 0.500 0.500 0.257
Tl 0.500 0.500 0.743
W 0.000 0.000 0.500



Relative stability in kJ/mol of atoms, measured from the most stable structure: <one> 0.0; <two> 11.6; <three> 5.0; <four> 3.9



<one>
This record from Alexandria via LeMat-Bulk describes MgTl2W after structural relaxation. The functional is PBE-GGA.

Output
DOS(E_F)	2.7	states/eV/cell
symmetry	No. 10

a = 3.006 Å, b = 5.064 Å, c = 5.653 Å
α = 90.00°, β = 90.95°, γ = 90.00°
Sites, in units of the cell vectors:
Mg 0.000 0.000 0.000
Tl 0.249 0.500 0.744
Tl 0.751 0.500 0.256
W 0.500 0.000 0.500



<two>
This record from Alexandria via LeMat-Bulk describes MgTl2W after structural relaxation. The functional is PBE-GGA.

Output
DOS(E_F)	3.7	states/eV/cell
symmetry	No. 225

a = 4.933 Å, b = 4.933 Å, c = 4.933 Å
α = 60.00°, β = 60.00°, γ = 60.00°
Sites, in units of the cell vectors:
Mg 0.000 0.000 0.000
Tl 0.250 0.250 0.250
Tl 0.750 0.750 0.750
W 0.500 0.500 0.500



Relative stability in kJ/mol of atoms, measured from the most stable structure: <one> 0.0; <two> 17.3



<one>
This record from Alexandria via LeMat-Bulk describes MgTl2W after structural relaxation. The functional is PBE-GGA.

Output
DOS(E_F)	1.4	states/eV/cell
symmetry	No. 139

a = 5.403 Å, b = 5.403 Å, c = 5.403 Å
α = 133.33°, β = 133.33°, γ = 68.14°
Sites, in units of the cell vectors:
Mg 0.000 0.000 0.000
Tl 0.250 0.750 0.500
Tl 0.750 0.250 0.500
W 0.500 0.500 0.000



<two>
This record from Alexandria via LeMat-Bulk describes MgTl2W after structural relaxation. The functional is PBE-GGA.

Output
DOS(E_F)	2.6	states/eV/cell
symmetry	No. 12

a = 5.210 Å, b = 5.210 Å, c = 5.665 Å
α = 98.33°, β = 98.33°, γ = 33.94°
Sites, in units of the cell vectors:
Mg 0.000 0.000 0.000
Tl 0.245 0.245 0.740
Tl 0.755 0.755 0.260
W 0.500 0.500 0.500



<three>
This record from Alexandria via LeMat-Bulk describes MgTl2W after structural relaxation. The functional is PBE-GGA.

Output
DOS(E_F)	1.4	states/eV/cell
symmetry	No. 8

a = 5.810 Å, b = 5.810 Å, c = 5.152 Å
α = 98.34°, β = 98.34°, γ = 29.81°
Sites, in units of the cell vectors:
Mg 0.000 0.000 0.000
Tl 0.231 0.231 0.776
Tl 0.457 0.457 0.469
W 0.711 0.711 0.267



Relative stability in kJ/mol of atoms, measured from the most stable structure: <one> 11.8; <two> 4.2; <three> 0.0



<one>
This record from Alexandria via LeMat-Bulk describes Mg3TlW after structural relaxation. The functional is PBE-GGA.

Output
DOS(E_F)	2.6	states/eV/cell
symmetry	No. 221

a = 5.256 Å, b = 5.256 Å, c = 5.256 Å
α = 90.00°, β = 90.00°, γ = 90.00°
Sites, in units of the cell vectors:
Mg 0.000 0.000 0.500
Mg 0.000 0.500 0.000
Mg 0.500 0.000 0.000
Tl 0.000 0.000 0.000
W 0.500 0.500 0.500



<two>
This record from Alexandria via LeMat-Bulk describes Mg3TlW after structural relaxation. The functional is PBE-GGA.

Output
DOS(E_F)	5.2	states/eV/cell
symmetry	No. 221

a = 5.343 Å, b = 5.343 Å, c = 5.343 Å
α = 90.00°, β = 90.00°, γ = 90.00°
Sites, in units of the cell vectors:
Mg 0.000 0.000 0.500
Mg 0.000 0.500 0.000
Mg 0.500 0.000 0.000
Tl 0.500 0.500 0.500
W 0.000 0.000 0.000



Relative stability in kJ/mol of atoms, measured from the most stable structure: <one> 29.9; <two> 0.0



<one>
This record from Alexandria via LeMat-Bulk describes MgTl3W after structural relaxation. The functional is PBE-GGA.

Output
DOS(E_F)	3.8	states/eV/cell
symmetry	No. 221

a = 5.423 Å, b = 5.423 Å, c = 5.423 Å
α = 90.00°, β = 90.00°, γ = 90.00°
Sites, in units of the cell vectors:
Mg 0.000 0.000 0.000
Tl 0.000 0.500 0.500
Tl 0.500 0.000 0.500
Tl 0.500 0.500 0.000
W 0.500 0.500 0.500



<two>
This record from Alexandria via LeMat-Bulk describes MgTl3W after structural relaxation. The functional is PBE-GGA.

Output
DOS(E_F)	3.2	states/eV/cell
symmetry	No. 221

a = 5.391 Å, b = 5.391 Å, c = 5.391 Å
α = 90.00°, β = 90.00°, γ = 90.00°
Sites, in units of the cell vectors:
Mg 0.000 0.000 0.000
Tl 0.000 0.000 0.500
Tl 0.000 0.500 0.000
Tl 0.500 0.000 0.000
W 0.500 0.500 0.500



Relative stability in kJ/mol of atoms, measured from the most stable structure: <one> 0.0; <two> 58.0



<one>
This record from Alexandria via LeMat-Bulk describes YMg2Tl after structural relaxation. The functional is PBE-GGA.

Output
DOS(E_F)	2.3	states/eV/cell
symmetry	No. 8

a = 5.576 Å, b = 5.576 Å, c = 5.721 Å
α = 103.41°, β = 103.41°, γ = 37.42°
Sites, in units of the cell vectors:
Y 0.000 0.000 0.000
Mg 0.237 0.237 0.697
Mg 0.490 0.490 0.501
Tl 0.756 0.756 0.235



<two>
This record from Alexandria via LeMat-Bulk describes YMg2Tl after structural relaxation. The functional is PBE-GGA.

Output
DOS(E_F)	2.4	states/eV/cell
symmetry	No. 139

a = 5.910 Å, b = 5.910 Å, c = 5.910 Å
α = 134.42°, β = 134.42°, γ = 66.43°
Sites, in units of the cell vectors:
Y 0.000 0.000 0.000
Mg 0.250 0.750 0.500
Mg 0.750 0.250 0.500
Tl 0.500 0.500 0.000



<three>
This record from Alexandria via LeMat-Bulk describes YMg2Tl after structural relaxation. The functional is PBE-GGA.

Output
DOS(E_F)	1.6	states/eV/cell
symmetry	No. 225

a = 5.199 Å, b = 5.199 Å, c = 5.199 Å
α = 60.00°, β = 60.00°, γ = 60.00°
Sites, in units of the cell vectors:
Y 0.000 0.000 0.000
Mg 0.250 0.250 0.250
Mg 0.750 0.750 0.750
Tl 0.500 0.500 0.500



Relative stability in kJ/mol of atoms, measured from the most stable structure: <one> 3.0; <two> 0.0; <three> 9.1



<one>
This record from Alexandria via LeMat-Bulk describes YMg2Tl after structural relaxation. The functional is PBE-GGA.

Output
DOS(E_F)	2.5	states/eV/cell
symmetry	No. 166

a = 10.589 Å, b = 10.589 Å, c = 10.589 Å
α = 18.88°, β = 18.88°, γ = 18.88°
Sites, in units of the cell vectors:
Y 0.000 0.000 0.000
Mg 0.245 0.245 0.245
Mg 0.755 0.755 0.755
Tl 0.500 0.500 0.500



<two>
This record from Alexandria via LeMat-Bulk describes YMg2Tl after structural relaxation. The functional is PBE-GGA.

Output
DOS(E_F)	2.3	states/eV/cell
symmetry	No. 12

a = 6.446 Å, b = 6.446 Å, c = 3.293 Å
α = 102.92°, β = 102.92°, γ = 121.06°
Sites, in units of the cell vectors:
Y 0.000 0.000 0.000
Mg 0.000 0.500 0.500
Mg 0.500 0.000 0.500
Tl 0.500 0.500 0.000



Relative stability in kJ/mol of atoms, measured from the most stable structure: <one> 6.9; <two> 0.0